[1]
# HfMgAg2H, relaxed, DFT PBE
data_HfMgAg2H
_cell_length_a 5.374
_cell_length_b 5.374
_cell_length_c 3.544
_cell_angle_alpha 90.00
_cell_angle_beta 90.00
_cell_angle_gamma 90.00
_space_group_name_H-M_alt 'P 4/m m m'
_space_group_IT_number 123
_space_group_name_Hall '-P 4 2'
loop_
_atom_site_label
_atom_site_type_symbol
_atom_site_fract_x
_atom_site_fract_y
_atom_site_fract_z
Hf1 Hf 0.000 0.000 0.000
Mg1 Mg 0.500 0.500 0.500
Ag1 Ag 0.000 0.500 0.000
H1 H 0.000 0.000 0.500
# E	-3.701	eV per atom
# total magnetization	0.000	μB per formula unit
# density	6.81	Mg/m³


[2]
# Li2TcCl, relaxed, DFT PBE
data_Li2TcCl
_cell_length_a 2.787
_cell_length_b 4.468
_cell_length_c 5.185
_cell_angle_alpha 90.00
_cell_angle_beta 101.12
_cell_angle_gamma 90.00
_space_group_name_H-M_alt 'P 1 m 1'
_space_group_IT_number 6
_space_group_name_Hall 'P -2y'
loop_
_atom_site_label
_atom_site_type_symbol
_atom_site_fract_x
_atom_site_fract_y
_atom_site_fract_z
Li1 Li 0.000 0.000 0.000
Li2 Li 0.255 0.500 0.708
Tc1 Tc 0.602 0.500 0.228
Cl1 Cl 0.659 0.000 0.391
# E	-3.953	eV per atom
# E_form (uncorrected)	0.057	eV per atom
# total magnetization	0.000	μB per formula unit
# density	3.86	Mg/m³


[3]
# WAu, relaxed, DFT PBE
data_WAu
_cell_length_a 4.843
_cell_length_b 10.220
_cell_length_c 2.972
_cell_angle_alpha 90.00
_cell_angle_beta 90.00
_cell_angle_gamma 90.00
_space_group_name_H-M_alt 'C m c m'
_space_group_IT_number 63
_space_group_name_Hall '-C 2c 2'
loop_
_atom_site_label
_atom_site_type_symbol
_atom_site_fract_x
_atom_site_fract_y
_atom_site_fract_z
W1 W 0.000 0.097 0.250
Au1 Au 0.000 0.369 0.250
# E	-7.478	eV per atom
# energy of formation from the pure elements	0.638	eV/atom
# total magnetization	0.000	μB per formula unit
# density	17.19	Mg/m³


[4]
# TmGa7Fe5, relaxed, DFT PBE
data_TmGa7Fe5
_cell_length_a 5.053
_cell_length_b 8.647
_cell_length_c 8.605
_cell_angle_alpha 90.00
_cell_angle_beta 90.00
_cell_angle_gamma 90.00
_space_group_name_H-M_alt 'I m m 2'
_space_group_IT_number 44
_space_group_name_Hall 'I 2 -2'
loop_
_atom_site_label
_atom_site_type_symbol
_atom_site_fract_x
_atom_site_fract_y
_atom_site_fract_z
Tm1 Tm 0.000 0.000 0.000
Ga1 Ga 0.000 0.000 0.330
Ga2 Ga 0.000 0.000 0.656
Ga3 Ga 0.000 0.299 0.502
Ga4 Ga 0.000 0.338 0.986
Ga5 Ga 0.000 0.500 0.265
Fe1 Fe 0.000 0.500 0.735
Fe2 Fe 0.246 0.251 0.244
# E	-5.523	eV per atom
# energy of formation from the pure elements	-0.295	eV/atom
# total magnetization	9.430	μB per formula unit
# density	8.27	Mg/m³


[5]
# CaSm6In5, relaxed, DFT PBE
data_CaSm6In5
_cell_length_a 6.422
_cell_length_b 11.421
_cell_length_c 10.352
_cell_angle_alpha 90.00
_cell_angle_beta 102.28
_cell_angle_gamma 90.00
_space_group_name_H-M_alt 'C 1 2/m 1'
_space_group_IT_number 12
_space_group_name_Hall '-C 2y'
loop_
_atom_site_label
_atom_site_type_symbol
_atom_site_fract_x
_atom_site_fract_y
_atom_site_fract_z
Ca1 Ca 0.000 0.000 0.000
Sm1 Sm 0.212 0.500 0.241
Sm2 Sm 0.227 0.318 0.730
In1 In 0.000 0.138 0.500
In2 In 0.000 0.314 0.000
In3 In 0.000 0.500 0.500
# E	-3.915	eV per atom
# energy of formation from the pure elements	-0.248	eV/atom
# total magnetization	0.000	μB per formula unit
# density	6.79	Mg/m³


[6]
# Sc4TiN4, relaxed, DFT PBE
data_Sc4TiN4
_cell_length_a 7.045
_cell_length_b 7.045
_cell_length_c 4.519
_cell_angle_alpha 90.00
_cell_angle_beta 90.00
_cell_angle_gamma 90.00
_space_group_name_H-M_alt 'I 4/m'
_space_group_IT_number 87
_space_group_name_Hall '-I 4'
loop_
_atom_site_label
_atom_site_type_symbol
_atom_site_fract_x
_atom_site_fract_y
_atom_site_fract_z
Sc1 Sc 0.109 0.690 0.000
Ti1 Ti 0.000 0.000 0.500
N1 N 0.096 0.710 0.500
# E	-9.071	eV per atom
# E_form (uncorrected)	-1.680	eV per atom
# total magnetization	0.000	μB per formula unit
# density	4.20	Mg/m³


Question: Which value of E does entry 6 give?
Answer: -9.071 eV per atom


Question: Number 2 is which compound?
Answer: Li2TcCl